P) This record from the Alexandria database describes V2FeAg after structural relaxation. The functional is PBE.

Results
* spin magnetization: 2.04 μB per formula unit
* Fermi-level density of states: 3.93 states/eV/f.u.

```
data_V2FeAg
_cell_length_a 6.160
_cell_length_b 6.160
_cell_length_c 6.160
_cell_angle_alpha 90.00
_cell_angle_beta 90.00
_cell_angle_gamma 90.00
_symmetry_space_group_name_H-M 'F m -3 m'
_symmetry_Int_Tables_number 225
_symmetry_space_group_name_Hall '-F 4 2 3'
loop_
_atom_site_label
_atom_site_fract_x
_atom_site_fract_y
_atom_site_fract_z
V1 0.250 0.250 0.250
Fe1 0.000 0.000 0.000
Ag1 0.000 0.000 0.500
```

Q) This record from the Alexandria database describes V2FeAg after structural relaxation. The functional is PBE.

Results
* spin magnetization: 1.70 μB per formula unit
* Fermi-level density of states: 4.66 states/eV/f.u.

```
data_V2FeAg
_cell_length_a 3.613
_cell_length_b 3.613
_cell_length_c 18.447
_cell_angle_alpha 90.00
_cell_angle_beta 90.00
_cell_angle_gamma 90.00
_symmetry_space_group_name_H-M 'I -4 2 d'
_symmetry_Int_Tables_number 122
_symmetry_space_group_name_Hall 'I -4 2bw'
loop_
_atom_site_label
_atom_site_fract_x
_atom_site_fract_y
_atom_site_fract_z
V1 0.230 0.250 0.125
Fe1 0.000 0.000 0.000
Ag1 0.000 0.000 0.500
```

Least stable structure: Q)

P) This record from the Alexandria database describes VFe3Ag after structural relaxation. The functional is PBE.

Results
* spin magnetization: 4.69 μB per formula unit
* Fermi-level density of states: 2.84 states/eV/f.u.

```
data_VFe3Ag
_cell_length_a 4.277
_cell_length_b 4.277
_cell_length_c 4.277
_cell_angle_alpha 90.00
_cell_angle_beta 90.00
_cell_angle_gamma 90.00
_symmetry_space_group_name_H-M 'P m -3 m'
_symmetry_Int_Tables_number 221
_symmetry_space_group_name_Hall '-P 4 2 3'
loop_
_atom_site_label
_atom_site_fract_x
_atom_site_fract_y
_atom_site_fract_z
V1 0.000 0.000 0.000
Fe1 0.000 0.000 0.500
Ag1 0.500 0.500 0.500
```

Q) This record from the Alexandria database describes VFe3Ag after structural relaxation. The functional is PBE.

Results
* spin magnetization: 12.37 μB per formula unit
* Fermi-level density of states: 8.97 states/eV/f.u.

```
data_VFe3Ag
_cell_length_a 4.658
_cell_length_b 4.658
_cell_length_c 4.658
_cell_angle_alpha 90.00
_cell_angle_beta 90.00
_cell_angle_gamma 90.00
_symmetry_space_group_name_H-M 'P m -3 m'
_symmetry_Int_Tables_number 221
_symmetry_space_group_name_Hall '-P 4 2 3'
loop_
_atom_site_label
_atom_site_fract_x
_atom_site_fract_y
_atom_site_fract_z
V1 0.000 0.000 0.000
Fe1 0.000 0.500 0.500
Ag1 0.500 0.500 0.500
```

Least stable structure: Q)

P) This record from the Alexandria database describes FeAg2W after structural relaxation. The functional is PBE.

Results
* spin magnetization: 2.69 μB per formula unit
* Fermi-level density of states: 2.97 states/eV/f.u.

```
data_FeAg2W
_cell_length_a 4.922
_cell_length_b 4.922
_cell_length_c 2.707
_cell_angle_alpha 90.00
_cell_angle_beta 90.00
_cell_angle_gamma 90.00
_symmetry_space_group_name_H-M 'P 4/m m m'
_symmetry_Int_Tables_number 123
_symmetry_space_group_name_Hall '-P 4 2'
loop_
_atom_site_label
_atom_site_fract_x
_atom_site_fract_y
_atom_site_fract_z
Fe1 0.000 0.000 0.000
Ag1 0.000 0.500 0.500
W1 0.500 0.500 0.000
```

Q) This record from the Alexandria database describes FeAg2W after structural relaxation. The functional is PBE.

Results
* spin magnetization: 1.80 μB per formula unit
* Fermi-level density of states: 3.61 states/eV/f.u.

```
data_FeAg2W
_cell_length_a 9.734
_cell_length_b 2.709
_cell_length_c 4.816
_cell_angle_alpha 90.00
_cell_angle_beta 98.49
_cell_angle_gamma 90.00
_symmetry_space_group_name_H-M 'C 1 2/m 1'
_symmetry_Int_Tables_number 12
_symmetry_space_group_name_Hall '-C 2y'
loop_
_atom_site_label
_atom_site_fract_x
_atom_site_fract_y
_atom_site_fract_z
Fe1 0.000 0.000 0.000
Ag1 0.248 0.500 0.247
W1 0.000 0.500 0.500
```

Least stable structure: P)

P) This record from the Alexandria database describes FeAgW2 after structural relaxation. The functional is PBE.

Results
* spin magnetization: 1.93 μB per formula unit
* Fermi-level density of states: 4.21 states/eV/f.u.

```
data_FeAgW2
_cell_length_a 6.260
_cell_length_b 6.260
_cell_length_c 6.260
_cell_angle_alpha 90.00
_cell_angle_beta 90.00
_cell_angle_gamma 90.00
_symmetry_space_group_name_H-M 'F m -3 m'
_symmetry_Int_Tables_number 225
_symmetry_space_group_name_Hall '-F 4 2 3'
loop_
_atom_site_label
_atom_site_fract_x
_atom_site_fract_y
_atom_site_fract_z
Fe1 0.000 0.000 0.000
Ag1 0.000 0.000 0.500
W1 0.250 0.250 0.250
```

Q) This record from the Alexandria database describes FeAgW2 after structural relaxation. The functional is PBE.

Results
* spin magnetization: 1.82 μB per formula unit
* Fermi-level density of states: 3.47 states/eV/f.u.

```
data_FeAgW2
_cell_length_a 2.680
_cell_length_b 4.243
_cell_length_c 5.454
_cell_angle_alpha 90.00
_cell_angle_beta 99.26
_cell_angle_gamma 90.00
_symmetry_space_group_name_H-M 'P 1 2/m 1'
_symmetry_Int_Tables_number 10
_symmetry_space_group_name_Hall '-P 2y'
loop_
_atom_site_label
_atom_site_fract_x
_atom_site_fract_y
_atom_site_fract_z
Fe1 0.000 0.000 0.000
Ag1 0.000 0.000 0.500
W1 0.452 0.500 0.229
```

Least stable structure: P)